VASP calculation (PBE) on BeSO6 after structural relaxation.

It has space group P1 (No. 1), with a = 3.6121 Å, b = 4.8007 Å, c = 5.8242 Å, α = 85.03°, β = 74.48° and γ = 79.83°. The inequivalent atoms are Be at (0.0000, 0.0000, 0.0000), S at (0.9859, 0.4233, 0.2235), O at (0.0703, 0.6467, 0.0330), O at (0.2052, 0.4632, 0.4396), O at (0.3789, 0.1300, 0.0154), O at (0.5155, 0.6299, 0.3578), O at (0.7361, 0.1502, 0.8359) and O at (0.8232, 0.1538, 0.2792).

The value obtained for the volume is 12.0 A^3/atom. Its formation energy without anion corrections is -0.634 eV/atom.

=====

VASP calculation (PBE) on ZrP2Se after structural relaxation.

It has space group C2/m (No. 12), with a = 9.4524 Å, b = 3.3946 Å, c = 4.8336 Å, α = 90.00°, β = 90.91° and γ = 90.00°. The inequivalent atoms are Zr at (0.0000, 0.0000, 0.0000), P at (0.2194, 0.5000, 0.1537) and Se at (0.0000, 0.5000, 0.5000).

The value obtained for the volume is 19.4 A^3/atom. Its formation energy without anion corrections is -0.465 eV/atom.

=====

Question: Which of these has the lowest volume?
Answer: BeSO6